The following is a DFT calculation (PBE) of CrMo2Br after structural relaxation.

Summary:
As for the density of states at the Fermi level: 1.01 states/eV per atom. The calculation puts the uncorrected formation energy at 848 meV per atom. The calculation puts the total energy at -0.543 Ry/atom. The value obtained for the magnetic moment is 0.418 μB/atom.

Cell: 3.0559 4.4162 4.7156 Å, 90.00 90.00 90.00°
Closest atoms and distances in Å follow each position.
Atoms (fractional coordinates):
Cr  0.0000  0.0000  0.0000  4 Br 2.69, 4 Mo 2.81
Mo  0.0000  0.5000  0.5000  4 Mo 2.69, 4 Br 2.81
Mo  0.5000  0.0000  0.5000  4 Mo 2.69, 4 Cr 2.81
Br  0.5000  0.5000  0.0000  4 Cr 2.69, 4 Mo 2.81